Entry 1:
First-principles (PBE) data for a relaxed CoNiW6 crystal, as listed in OQMD via LeMat-Bulk. Values from VASP.

Structure (Quantum ESPRESSO input):
```
&SYSTEM
  ibrav = 0, nat = 8, ntyp = 3
/
ATOMIC_SPECIES
Co 58.93 Co.upf
Ni 58.69 Ni.upf
W 183.84 W.upf
ATOMIC_POSITIONS crystal
Co 0.000 0.000 0.000
Ni 0.333 0.667 0.500
W 0.000 0.500 0.000
W 0.334 0.167 0.500
W 0.500 0.000 0.000
W 0.500 0.500 0.000
W 0.833 0.167 0.500
W 0.833 0.666 0.500
CELL_PARAMETERS angstrom
5.541 0.000 0.000
-2.770 4.798 0.000
0.000 0.000 4.477
```

Calculated values
Space group: P-6m2
E_tot (eV per atom): -11.01
Size of the total moment (μB/f.u.): 0.1
ΔH_f (0 K) (eV per atom): 0.2979

Entry 2:
First-principles (PBE) data for a relaxed CoNiW crystal, as listed in OQMD via LeMat-Bulk. Values from VASP.

Structure (Quantum ESPRESSO input):
```
&SYSTEM
  ibrav = 0, nat = 3, ntyp = 3
/
ATOMIC_SPECIES
Co 58.93 Co.upf
Ni 58.69 Ni.upf
W 183.84 W.upf
ATOMIC_POSITIONS crystal
Co 0.000 0.000 0.000
Ni 0.500 0.500 0.500
W 0.250 0.250 0.250
CELL_PARAMETERS angstrom
0.000 2.804 2.804
2.804 0.000 2.804
2.804 2.804 0.000
```

Calculated values
Space group: F-43m
E_tot (eV per atom): -7.89
Size of the total moment (μB/f.u.): 0.0
ΔH_f (0 K) (eV per atom): 0.6588
Energy relative to the lowest polymorph listed for this composition (meV/atom): 120

Entry 3:
First-principles (PBE) data for a relaxed CoNi2W crystal, as listed in OQMD via LeMat-Bulk. Values from VASP.

Structure (Quantum ESPRESSO input):
```
&SYSTEM
  ibrav = 0, nat = 4, ntyp = 3
/
ATOMIC_SPECIES
Co 58.93 Co.upf
Ni 58.69 Ni.upf
W 183.84 W.upf
ATOMIC_POSITIONS crystal
Co 0.000 0.000 0.000
Ni 0.250 0.250 0.250
Ni 0.500 0.500 0.500
W 0.750 0.750 0.750
CELL_PARAMETERS angstrom
0.000 2.877 2.877
2.877 0.000 2.877
2.877 2.877 0.000
```

Calculated values
Space group: F-43m
E_tot (eV per atom): -7.72
Size of the total moment (μB/f.u.): 0.7
ΔH_f (0 K) (eV per atom): 0.0773

Entry 4:
First-principles (PBE) data for a relaxed Y3Co2Ni7 crystal, as listed in OQMD via LeMat-Bulk. Values from VASP.

Structure (Quantum ESPRESSO input):
```
&SYSTEM
  ibrav = 0, nat = 12, ntyp = 3
/
ATOMIC_SPECIES
Y 88.91 Y.upf
Co 58.93 Co.upf
Ni 58.69 Ni.upf
ATOMIC_POSITIONS crystal
Y 0.000 0.000 0.000
Y 0.139 0.139 0.139
Y 0.861 0.861 0.861
Co 0.333 0.333 0.333
Co 0.667 0.667 0.667
Ni 0.081 0.581 0.581
Ni 0.419 0.419 0.919
Ni 0.419 0.919 0.419
Ni 0.500 0.500 0.500
Ni 0.581 0.081 0.581
Ni 0.581 0.581 0.081
Ni 0.919 0.419 0.419
CELL_PARAMETERS angstrom
2.477 1.430 8.133
-2.477 1.430 8.133
0.000 -2.860 8.133
```

Calculated values
Space group: R-3m
E_tot (eV per atom): -6.38
Size of the total moment (μB/f.u.): 3.8
ΔH_f (0 K) (eV per atom): -0.3336

Entry 5:
First-principles (PBE) data for a relaxed YCoNi crystal, as listed in OQMD via LeMat-Bulk. Values from VASP.

Structure (Quantum ESPRESSO input):
```
&SYSTEM
  ibrav = 0, nat = 12, ntyp = 3
/
ATOMIC_SPECIES
Y 88.91 Y.upf
Co 58.93 Co.upf
Ni 58.69 Ni.upf
ATOMIC_POSITIONS crystal
Y 0.018 0.250 0.190
Y 0.482 0.750 0.690
Y 0.518 0.250 0.310
Y 0.982 0.750 0.810
Co 0.139 0.250 0.562
Co 0.361 0.750 0.062
Co 0.639 0.250 0.938
Co 0.861 0.750 0.438
Ni 0.223 0.750 0.388
Ni 0.277 0.250 0.888
Ni 0.723 0.750 0.112
Ni 0.777 0.250 0.612
CELL_PARAMETERS angstrom
6.757 0.000 0.000
0.000 3.955 0.000
0.000 0.000 7.341
```

Calculated values
Space group: Pnma
E_tot (eV per atom): -6.54
Size of the total moment (μB/f.u.): 1.4
ΔH_f (0 K) (eV per atom): -0.1641
Energy relative to the lowest polymorph listed for this composition (meV/atom): 77

Entry 6:
First-principles (PBE) data for a relaxed Y3Co7Ni2 crystal, as listed in OQMD via LeMat-Bulk. Values from VASP.

Structure (Quantum ESPRESSO input):
```
&SYSTEM
  ibrav = 0, nat = 12, ntyp = 3
/
ATOMIC_SPECIES
Y 88.91 Y.upf
Co 58.93 Co.upf
Ni 58.69 Ni.upf
ATOMIC_POSITIONS crystal
Y 0.000 0.000 0.000
Y 0.139 0.139 0.139
Y 0.861 0.861 0.861
Co 0.081 0.582 0.582
Co 0.418 0.418 0.919
Co 0.418 0.919 0.418
Co 0.500 0.500 0.500
Co 0.582 0.081 0.582
Co 0.582 0.582 0.081
Co 0.919 0.418 0.418
Ni 0.334 0.334 0.334
Ni 0.666 0.666 0.666
CELL_PARAMETERS angstrom
2.463 1.422 8.179
-2.463 1.422 8.179
0.000 -2.844 8.179
```

Calculated values
Space group: R-3m
E_tot (eV per atom): -6.89
Size of the total moment (μB/f.u.): 8.0
ΔH_f (0 K) (eV per atom): -0.2041